# GGA-PBEsol AlReSi2, relaxed
data_AlReSi2
_cell_length_a 5.1901
_cell_length_b 6.8729
_cell_length_c 3.0678
_cell_angle_alpha 90.00
_cell_angle_beta 90.00
_cell_angle_gamma 90.00
_space_group_name_H-M_alt 'C m m m'
_space_group_IT_number 65
_space_group_name_Hall '-C 2 2'
loop_
_atom_site_label
_atom_site_type_symbol
_atom_site_fract_x
_atom_site_fract_y
_atom_site_fract_z
Al1 Al 0.0000 0.0000 0.0000
Re1 Re 0.0000 0.5000 0.0000
Si1 Si 0.2500 0.2500 0.5000
# Magnetic moment: 0.000 μB/f.u.
# Energy relative to the elements, uncorrected: 0.057 eV per atom

=====

# GGA-PBEsol Al2ReSi, relaxed
data_Al2ReSi
_cell_length_a 3.2168
_cell_length_b 3.2168
_cell_length_c 5.4027
_cell_angle_alpha 90.00
_cell_angle_beta 90.00
_cell_angle_gamma 90.00
_space_group_name_H-M_alt 'P 4 m m'
_space_group_IT_number 99
_space_group_name_Hall 'P 4 -2'
loop_
_atom_site_label
_atom_site_type_symbol
_atom_site_fract_x
_atom_site_fract_y
_atom_site_fract_z
Al1 Al 0.0000 0.0000 0.0000
Al2 Al 0.5000 0.5000 0.2600
Re1 Re 0.0000 0.0000 0.5190
Si1 Si 0.5000 0.5000 0.7455
# Magnetic moment: 0.000 μB/f.u.
# Energy relative to the elements, uncorrected: -0.159 eV per atom

=====

# GGA-PBEsol AlReSn3, relaxed
data_AlReSn3
_cell_length_a 5.1407
_cell_length_b 5.1407
_cell_length_c 5.1407
_cell_angle_alpha 90.00
_cell_angle_beta 90.00
_cell_angle_gamma 90.00
_space_group_name_H-M_alt 'P m -3 m'
_space_group_IT_number 221
_space_group_name_Hall '-P 4 2 3'
loop_
_atom_site_label
_atom_site_type_symbol
_atom_site_fract_x
_atom_site_fract_y
_atom_site_fract_z
Al1 Al 0.0000 0.0000 0.0000
Re1 Re 0.5000 0.5000 0.5000
Sn1 Sn 0.0000 0.5000 0.5000
# Magnetic moment: 0.006 μB/f.u.
# ΔH_f (0 K): 0.596 eV/atom

=====

# GGA-PBEsol Sr2AlRe, relaxed
data_Sr2AlRe
_cell_length_a 3.8587
_cell_length_b 5.1845
_cell_length_c 10.3146
_cell_angle_alpha 90.00
_cell_angle_beta 90.00
_cell_angle_gamma 90.00
_space_group_name_H-M_alt 'I m m 2'
_space_group_IT_number 44
_space_group_name_Hall 'I 2 -2'
loop_
_atom_site_label
_atom_site_type_symbol
_atom_site_fract_x
_atom_site_fract_y
_atom_site_fract_z
Sr1 Sr 0.0000 0.0000 0.0000
Sr2 Sr 0.0000 0.5000 0.2079
Al1 Al 0.0000 0.0000 0.4253
Re1 Re 0.0000 0.5000 0.7765
# Magnetic moment: 0.000 μB/f.u.
# ΔH_f (0 K): 0.512 eV/atom

=====

# GGA-PBEsol Sr2AlRe, relaxed
data_Sr2AlRe
_cell_length_a 4.4354
_cell_length_b 4.4354
_cell_length_c 4.7623
_cell_angle_alpha 90.00
_cell_angle_beta 90.00
_cell_angle_gamma 90.00
_space_group_name_H-M_alt 'P 4/m m m'
_space_group_IT_number 123
_space_group_name_Hall '-P 4 2'
loop_
_atom_site_label
_atom_site_type_symbol
_atom_site_fract_x
_atom_site_fract_y
_atom_site_fract_z
Sr1 Sr 0.0000 0.5000 0.0000
Al1 Al 0.0000 0.0000 0.5000
Re1 Re 0.5000 0.5000 0.5000
# Magnetic moment: 0.885 μB/f.u.
# ΔH_f (0 K): 0.856 eV/atom

=====

# GGA-PBEsol SrAlRe2, relaxed
data_SrAlRe2
_cell_length_a 3.0908
_cell_length_b 3.0908
_cell_length_c 7.9249
_cell_angle_alpha 90.00
_cell_angle_beta 90.00
_cell_angle_gamma 90.00
_space_group_name_H-M_alt 'P 4 m m'
_space_group_IT_number 99
_space_group_name_Hall 'P 4 -2'
loop_
_atom_site_label
_atom_site_type_symbol
_atom_site_fract_x
_atom_site_fract_y
_atom_site_fract_z
Sr1 Sr 0.0000 0.0000 0.0000
Al1 Al 0.5000 0.5000 0.3182
Re1 Re 0.0000 0.0000 0.5220
Re2 Re 0.5000 0.5000 0.6924
# Magnetic moment: 0.001 μB/f.u.
# ΔH_f (0 K): 0.220 eV/atom

=====

# GGA-PBEsol SrAl2Re, relaxed
data_SrAl2Re
_cell_length_a 5.0760
_cell_length_b 5.0760
_cell_length_c 16.7970
_cell_angle_alpha 90.00
_cell_angle_beta 90.00
_cell_angle_gamma 90.00
_space_group_name_H-M_alt 'I 41/a m d'
_space_group_IT_number 141
loop_
_space_group_symop_operation_xyz
'x,y,z'
'-x,-y,-z'
'-y+1/4,x+3/4,z+1/4'
'y+1/4,-x+3/4,-z+1/4'
'-x+1/2,-y,z+1/2'
'x+1/2,y,-z+1/2'
'y+1/4,-x+1/4,z+3/4'
'-y+1/4,x+1/4,-z+3/4'
'x,-y,-z'
'-x,y,z'
'-y+1/4,-x+1/4,-z+3/4'
'y+1/4,x+1/4,z+3/4'
'-x+1/2,y,-z+1/2'
'x+1/2,-y,z+1/2'
'y+1/4,x+3/4,-z+1/4'
'-y+1/4,-x+3/4,z+1/4'
'x+1/2,y+1/2,z+1/2'
'-x+1/2,-y+1/2,-z+1/2'
'-y+3/4,x+1/4,z+3/4'
'y+3/4,-x+1/4,-z+3/4'
'-x,-y+1/2,z'
'x,y+1/2,-z'
'y+3/4,-x+3/4,z+1/4'
'-y+3/4,x+3/4,-z+1/4'
'x+1/2,-y+1/2,-z+1/2'
'-x+1/2,y+1/2,z+1/2'
'-y+3/4,-x+3/4,-z+1/4'
'y+3/4,x+3/4,z+1/4'
'-x,y+1/2,-z'
'x,-y+1/2,z'
'y+3/4,x+1/4,-z+3/4'
'-y+3/4,-x+1/4,z+3/4'
loop_
_atom_site_label
_atom_site_type_symbol
_atom_site_fract_x
_atom_site_fract_y
_atom_site_fract_z
Sr1 Sr 0.0000 0.2500 0.3750
Al1 Al 0.0000 0.0000 0.0000
Re1 Re 0.0000 0.2500 0.8750
# Magnetic moment: 0.287 μB/f.u.
# ΔH_f (0 K): 0.595 eV/atom

=====

# GGA-PBEsol SrAl2Re, relaxed
data_SrAl2Re
_cell_length_a 3.3794
_cell_length_b 3.3794
_cell_length_c 7.2985
_cell_angle_alpha 90.00
_cell_angle_beta 90.00
_cell_angle_gamma 90.00
_space_group_name_H-M_alt 'P 4 m m'
_space_group_IT_number 99
_space_group_name_Hall 'P 4 -2'
loop_
_atom_site_label
_atom_site_type_symbol
_atom_site_fract_x
_atom_site_fract_y
_atom_site_fract_z
Sr1 Sr 0.0000 0.0000 0.0000
Al1 Al 0.0000 0.0000 0.5688
Al2 Al 0.5000 0.5000 0.3480
Re1 Re 0.5000 0.5000 0.6909
# Magnetic moment: 0.000 μB/f.u.
# ΔH_f (0 K): 0.258 eV/atom

=====

# GGA-PBEsol SrAl3Re, relaxed
data_SrAl3Re
_cell_length_a 4.8293
_cell_length_b 4.8293
_cell_length_c 4.8293
_cell_angle_alpha 90.00
_cell_angle_beta 90.00
_cell_angle_gamma 90.00
_space_group_name_H-M_alt 'P m -3 m'
_space_group_IT_number 221
_space_group_name_Hall '-P 4 2 3'
loop_
_atom_site_label
_atom_site_type_symbol
_atom_site_fract_x
_atom_site_fract_y
_atom_site_fract_z
Sr1 Sr 0.0000 0.0000 0.0000
Al1 Al 0.0000 0.5000 0.5000
Re1 Re 0.5000 0.5000 0.5000
# Magnetic moment: 0.000 μB/f.u.
# ΔH_f (0 K): -0.165 eV/atom

=====

# GGA-PBEsol SrAl2Re, relaxed
data_SrAl2Re
_cell_length_a 8.8220
_cell_length_b 2.7799
_cell_length_c 6.7054
_cell_angle_alpha 90.00
_cell_angle_beta 95.54
_cell_angle_gamma 90.00
_space_group_name_H-M_alt 'C 1 m 1'
_space_group_IT_number 8
_space_group_name_Hall 'C -2y'
loop_
_atom_site_label
_atom_site_type_symbol
_atom_site_fract_x
_atom_site_fract_y
_atom_site_fract_z
Sr1 Sr 0.0000 0.0000 0.0000
Al1 Al 0.9997 0.5000 0.4608
Al2 Al 0.2440 0.0000 0.6601
Re1 Re 0.2601 0.5000 0.3256
# Magnetic moment: 0.000 μB/f.u.
# ΔH_f (0 K): 0.364 eV/atom

=====

# GGA-PBEsol TaAl2Re, relaxed
data_TaAl2Re
_cell_length_a 3.1861
_cell_length_b 4.4872
_cell_length_c 8.7907
_cell_angle_alpha 90.00
_cell_angle_beta 90.00
_cell_angle_gamma 90.00
_space_group_name_H-M_alt 'C m m 2'
_space_group_IT_number 35
_space_group_name_Hall 'C 2 -2'
loop_
_atom_site_label
_atom_site_type_symbol
_atom_site_fract_x
_atom_site_fract_y
_atom_site_fract_z
Ta1 Ta 0.0000 0.0000 0.0000
Al1 Al 0.0000 0.0000 0.4834
Al2 Al 0.0000 0.5000 0.7459
Re1 Re 0.0000 0.5000 0.2493
# Magnetic moment: 0.000 μB/f.u.
# ΔH_f (0 K): -0.008 eV/atom

=====

# GGA-PBEsol Ta2AlRe, relaxed
data_Ta2AlRe
_cell_length_a 2.7814
_cell_length_b 2.7814
_cell_length_c 8.3956
_cell_angle_alpha 90.00
_cell_angle_beta 90.00
_cell_angle_gamma 90.00
_space_group_name_H-M_alt 'P 4 m m'
_space_group_IT_number 99
_space_group_name_Hall 'P 4 -2'
loop_
_atom_site_label
_atom_site_type_symbol
_atom_site_fract_x
_atom_site_fract_y
_atom_site_fract_z
Ta1 Ta 0.0000 0.0000 0.0000
Ta2 Ta 0.5000 0.5000 0.2769
Al1 Al 0.0000 0.0000 0.5273
Re1 Re 0.5000 0.5000 0.7468
# Magnetic moment: 0.000 μB/f.u.
# ΔH_f (0 K): 0.047 eV/atom

=====

# GGA-PBEsol TaAl2Re, relaxed
data_TaAl2Re
_cell_length_a 3.2344
_cell_length_b 3.2344
_cell_length_c 5.8725
_cell_angle_alpha 90.00
_cell_angle_beta 90.00
_cell_angle_gamma 90.00
_space_group_name_H-M_alt 'P 4 m m'
_space_group_IT_number 99
_space_group_name_Hall 'P 4 -2'
loop_
_atom_site_label
_atom_site_type_symbol
_atom_site_fract_x
_atom_site_fract_y
_atom_site_fract_z
Ta1 Ta 0.0000 0.0000 0.0000
Al1 Al 0.0000 0.0000 0.5192
Al2 Al 0.5000 0.5000 0.2731
Re1 Re 0.5000 0.5000 0.7594
# Magnetic moment: 0.000 μB/f.u.
# ΔH_f (0 K): -0.296 eV/atom

=====

# GGA-PBEsol TaAl2Re, relaxed
data_TaAl2Re
_cell_length_a 3.8559
_cell_length_b 3.8559
_cell_length_c 4.1085
_cell_angle_alpha 90.00
_cell_angle_beta 90.00
_cell_angle_gamma 90.00
_space_group_name_H-M_alt 'P 4/m m m'
_space_group_IT_number 123
_space_group_name_Hall '-P 4 2'
loop_
_atom_site_label
_atom_site_type_symbol
_atom_site_fract_x
_atom_site_fract_y
_atom_site_fract_z
Ta1 Ta 0.0000 0.0000 0.0000
Al1 Al 0.0000 0.5000 0.5000
Re1 Re 0.5000 0.5000 0.0000
# Magnetic moment: 0.000 μB/f.u.
# ΔH_f (0 K): -0.150 eV/atom

=====

# GGA-PBEsol TaAl2Re, relaxed
data_TaAl2Re
_cell_length_a 2.7597
_cell_length_b 4.2739
_cell_length_c 5.3008
_cell_angle_alpha 90.00
_cell_angle_beta 101.70
_cell_angle_gamma 90.00
_space_group_name_H-M_alt 'P 1 2/m 1'
_space_group_IT_number 10
_space_group_name_Hall '-P 2y'
loop_
_atom_site_label
_atom_site_type_symbol
_atom_site_fract_x
_atom_site_fract_y
_atom_site_fract_z
Ta1 Ta 0.0000 0.0000 0.0000
Al1 Al 0.3137 0.5000 0.7428
Re1 Re 0.5000 0.0000 0.5000
# Magnetic moment: 0.000 μB/f.u.
# ΔH_f (0 K): -0.152 eV/atom